Entry from the Alexandria database: a relaxed AcP2PdSe8 crystal (GGA-PBE).

Lattice parameters (Å, degrees): 6.841 6.841 9.207 90.00 90.00 120.00
Fractional coordinates of all 12 atoms:
Ac 0.000 0.000 0.000
P 0.333 0.667 0.214
P 0.667 0.333 0.786
Pd 0.000 0.000 0.500
Se 0.152 0.304 0.289
Se 0.152 0.848 0.289
Se 0.304 0.152 0.711
Se 0.333 0.667 0.977
Se 0.667 0.333 0.023
Se 0.696 0.848 0.289
Se 0.848 0.152 0.711
Se 0.848 0.696 0.711

Output
**Formation energy without anion corrections**: -276.9 meV/atom
**Size of the total moment**: 0.000 μB per atom
**DOS at the Fermi energy**: 1.0718 states/eV/atom
**Crystal system**: trigonal
**Space group**: P-3m1, No. 164

Entry from the Alexandria database: a relaxed TlCd3In12 crystal (GGA-PBE).

Lattice parameters (Å, degrees): 4.783 4.783 18.549 90.00 90.00 90.00
Fractional coordinates of all 16 atoms:
Tl 0.000 0.000 0.000
Cd 0.000 0.000 0.255
Cd 0.000 0.000 0.500
Cd 0.000 0.000 0.745
In 0.000 0.500 0.132
In 0.000 0.500 0.377
In 0.000 0.500 0.623
In 0.000 0.500 0.868
In 0.500 0.000 0.132
In 0.500 0.000 0.377
In 0.500 0.000 0.623
In 0.500 0.000 0.868
In 0.500 0.500 0.000
In 0.500 0.500 0.256
In 0.500 0.500 0.500
In 0.500 0.500 0.744

Output
**E_form**: 0.03 eV/atom
**Size of the total moment**: 0.000 μB per atom
**DOS at the Fermi energy**: 0.4345 states/eV/atom
**Crystal system**: tetragonal
**Space group**: P4/mmm, No. 123

Entry from the Alexandria database: a relaxed NbZn2BI crystal (GGA-PBE).

Lattice parameters (Å, degrees): 5.080 5.080 4.402 90.00 90.00 90.00
Fractional coordinates of all 5 atoms:
Nb 0.000 0.000 0.000
Zn 0.000 0.500 0.500
Zn 0.500 0.000 0.500
B 0.500 0.500 0.000
I 0.500 0.500 0.500

Output
**Formation energy without anion corrections**: 2108.4 meV/atom
**Size of the total moment**: 0.013 μB per atom
**DOS at the Fermi energy**: 1.2910 states/eV/atom
**Crystal system**: tetragonal
**Space group**: P4/mmm, No. 123

Entry from the Alexandria database: a relaxed KRb2Sn crystal (GGA-PBE).

Lattice parameters (Å, degrees): 12.016 8.578 10.862 90.00 116.85 90.00
Fractional coordinates of all 16 atoms:
K 0.001 0.000 0.313
K 0.001 0.500 0.813
K 0.999 0.000 0.687
K 0.999 0.500 0.187
Rb 0.295 0.199 0.148
Rb 0.295 0.301 0.648
Rb 0.329 0.749 0.414
Rb 0.329 0.751 0.914
Rb 0.671 0.249 0.086
Rb 0.671 0.251 0.586
Rb 0.705 0.699 0.352
Rb 0.705 0.801 0.852
Sn 0.063 0.647 0.531
Sn 0.063 0.853 0.031
Sn 0.937 0.147 0.969
Sn 0.937 0.353 0.469

Output
**E_form**: -0.08 eV/atom
**Size of the total moment**: 0.000 μB per atom
**DOS at the Fermi energy**: 1.0223 states/eV/atom
**Crystal system**: monoclinic
**Space group**: P2_1/c, No. 14

Entry from the Alexandria database: a relaxed Ca3SbP crystal (GGA-PBE).

Lattice parameters (Å, degrees): 9.591 9.591 7.600 94.73 94.73 74.57
Fractional coordinates of all 20 atoms:
Ca 0.002 0.810 0.557
Ca 0.125 0.661 0.036
Ca 0.190 0.998 0.943
Ca 0.233 0.441 0.638
Ca 0.339 0.875 0.464
Ca 0.441 0.233 0.138
Ca 0.559 0.767 0.862
Ca 0.661 0.125 0.536
Ca 0.767 0.559 0.362
Ca 0.810 0.002 0.057
Ca 0.875 0.339 0.964
Ca 0.998 0.190 0.443
Sb 0.124 0.400 0.245
Sb 0.400 0.124 0.745
Sb 0.600 0.876 0.255
Sb 0.876 0.600 0.755
P 0.083 0.917 0.250
P 0.289 0.711 0.750
P 0.711 0.289 0.250
P 0.917 0.083 0.750

Output
**Formation energy without anion corrections**: -991.8 meV/atom
**Size of the total moment**: 0.000 μB per atom
**DOS at the Fermi energy**: 0.0000 states/eV/atom
**Crystal system**: monoclinic
**Space group**: C2/c, No. 15

Entry from the Alexandria database: a relaxed GeWCl2 crystal (GGA-PBE).

Lattice parameters (Å, degrees): 4.560 4.560 4.560 60.00 60.00 60.00
Fractional coordinates of all 4 atoms:
Ge 0.000 0.000 0.000
W 0.500 0.500 0.500
Cl 0.250 0.250 0.250
Cl 0.750 0.750 0.750

Output
**Formation energy without anion corrections**: 987.8 meV/atom
**Size of the total moment**: 0.000 μB per atom
**DOS at the Fermi energy**: 1.0711 states/eV/atom
**Crystal system**: cubic
**Space group**: Fm-3m, No. 225